[1]
The following is a DFT calculation (PBE) of a relaxed structure of Na2TePdO6.

Unit cell a=5.3593 b=5.4470 c=9.2906 alpha=90.00 beta=124.86 gamma=90.00
Closest atoms and distances in Å follow each position.
Space group P2_1/c (No. 14)
Inequivalent atoms, fractional coordinates:
Na 0.2352 0.0562 0.2486  4 O 2.24-2.34
Te 0.5000 0.0000 0.0000  6 O 1.95-1.96
Pd 0.0000 0.0000 0.5000  6 O 2.03-2.05
O 0.1478 0.1913 0.9478  1 Te 1.96, 1 Pd 2.03
O 0.2544 0.7044 0.9438  1 Te 1.95, 1 Pd 2.05
O 0.3603 0.0297 0.7551  1 Te 1.95, 1 Pd 2.03

Calculated values
For the total energy, the calculation gives -5.06 eV per atom.



[2]
The following is a DFT calculation (PBE) of a relaxed structure of Ho3InGa2Ge2Pt.

Unit cell a=4.2473 b=12.1492 c=7.2335 alpha=90.00 beta=90.00 gamma=90.00
Closest atoms and distances in Å follow each position.
Space group Amm2 (No. 38)
Inequivalent atoms, fractional coordinates:
Ho 0.0000 0.0000 0.0000  1 Pt 2.83, 4 Ge 3.04
Ho 0.0000 0.2071 0.6115  4 Ge 2.96-3.07, 1 Pt 2.98, 2 Ga 3.25, 2 In 3.30
In 0.5000 0.0000 0.6482  2 Ge 2.82, 2 Pt 2.82, 2 Ga 3.00
Ga 0.5000 0.1193 0.2854  2 Pt 2.68, 2 Ge 2.70-2.78, 1 Ga 2.90, 1 In 3.00
Ge 0.5000 0.1715 0.9113  2 Ga 2.70-2.78, 1 In 2.82, 2 Ho 2.96
Pt 0.0000 0.0000 0.3912  4 Ga 2.68, 2 In 2.82, 3 Ho 2.83-2.98

Calculated values
For the total energy, the calculation gives -4.99 eV per atom.



[3]
The following is a DFT calculation (PBE) of a relaxed structure of PrNi3.

Unit cell a=5.0414 b=5.0414 c=24.7572 alpha=90.00 beta=90.00 gamma=120.00
Closest atoms and distances in Å follow each position.
Space group R-3m (No. 166, hexagonal axes)
Inequivalent atoms, fractional coordinates:
Pr 0.0000 0.0000 0.0000  18 Ni 2.91-3.23
Pr 0.0000 0.0000 0.1392  12 Ni 2.90-3.15, 3 Pr 3.21
Ni 0.0000 0.0000 0.3328  6 Ni 2.47-2.49
Ni 0.0000 0.0000 0.5000  6 Ni 2.57
Ni 0.0004 0.5002 0.0813  7 Ni 2.47-2.57

Calculated values
For the total energy, the calculation gives -5.66 eV per atom.



[4]
The following is a DFT calculation (PBE) of a relaxed structure of B4AsPd.

Unit cell a=3.0683 b=5.3684 c=7.2057 alpha=90.00 beta=90.00 gamma=90.00
Closest atoms and distances in Å follow each position.
Space group Immm (No. 71)
Inequivalent atoms, fractional coordinates:
B 0.0000 0.1674 0.2495  3 B 1.77-1.80
As 0.0000 0.5000 0.0000  12 B 2.53
Pd 0.0000 0.5000 0.5000  12 B 2.53-2.54

Calculated values
For the total energy, the calculation gives -5.58 eV per atom.



What is the formula in the fourth record? B4AsPd